Density functional theory data (PBE) for a relaxed structure of TaBiN2O.

Values from the calculation:
E_tot: -0.5996 Ry per atom
Size of the total moment: 0.001 μB/f.u.

Lattice parameters (Å, degrees): 4.1511 4.1511 3.9090 90.00 90.00 90.00
Element x y z (fractional)
Bi (0.0000, 0.0000, 0.0000)
O (0.5000, 0.5000, 0.0000)
N (0.5000, 0.0000, 0.5000)
N (0.0000, 0.5000, 0.5000)
Ta (0.5000, 0.5000, 0.5000)